An optimized crystal structure of K2CuF7, computed with PBE.

**E_tot**: -3.69 eV/atom
**Energy relative to the elements, uncorrected**: -17.5 eV per formula unit

abc: 5.9258 5.9258 5.9258
angles: 60.00 60.00 60.00
Sites, in units of the cell vectors:
K (0.2500, 0.2500, 0.2500)
K (0.7500, 0.7500, 0.7500)
Cu (0.0000, 0.0000, 0.0000)
F (0.2197, 0.2197, 0.7803)
F (0.2197, 0.7803, 0.2197)
F (0.2197, 0.7803, 0.7803)
F (0.5000, 0.5000, 0.5000)
F (0.7803, 0.2197, 0.2197)
F (0.7803, 0.2197, 0.7803)
F (0.7803, 0.7803, 0.2197)